Entry 1:
The following is a DFT calculation (PBE-GGA) of crystalline LaSi2MoWC at its relaxed geometry.

Summary:
Space-group type   Pmmm (47)
M_tot   0.003 μB/f.u.
Energy   -8.58 eV/atom

abc: 4.242 4.253 5.484
angles: 90.00 90.00 90.00
Sites, in units of the cell vectors:
Si 0.500 0.500 0.277
Si 0.500 0.500 0.723
C 0.000 0.000 0.000
W 0.500 0.000 0.000
La 0.000 0.000 0.500
Mo 0.000 0.500 0.000


Entry 2:
The following is a DFT calculation (PBE-GGA) of crystalline ZrBeCo at its relaxed geometry.

Summary:
Space-group type   F-43m (216)
Excess energy over the best structure of this formula in the dataset   0.0 meV/atom
M_tot   0.010 μB/f.u.
Energy   -6.34 eV/atom

abc: 4.050 4.050 4.050
angles: 60.00 60.00 60.00
Sites, in units of the cell vectors:
Be 0.250 0.250 0.250
Co 0.000 0.000 0.000
Zr 0.750 0.750 0.750


Entry 3:
The following is a DFT calculation (PBE-GGA) of crystalline SmPbW at its relaxed geometry.

Summary:
Space-group type   F-43m (216)
Excess energy over the best structure of this formula in the dataset   449.0 meV/atom
M_tot   3.130 μB/f.u.
Energy   -5.71 eV/atom

abc: 5.045 5.045 5.045
angles: 60.00 60.00 60.00
Sites, in units of the cell vectors:
W 0.750 0.750 0.750
Sm 0.000 0.000 0.000
Pb 0.250 0.250 0.250


Entry 4:
The following is a DFT calculation (PBE-GGA) of crystalline HgP2W at its relaxed geometry.

Summary:
Space-group type   I-42d (122)
M_tot   0.031 μB/f.u.
Energy   -5.68 eV/atom

abc: 6.833 6.833 6.833
angles: 129.23 129.23 74.63
Sites, in units of the cell vectors:
W 0.250 0.750 0.500
W 0.500 0.500 0.000
P 0.173 0.125 0.548
P 0.375 0.827 0.952
P 0.577 0.625 0.452
P 0.875 0.423 0.048
Hg 0.000 0.000 0.000
Hg 0.750 0.250 0.500


Entry 5:
The following is a DFT calculation (PBE-GGA) of crystalline Co7Te at its relaxed geometry.

Summary:
Space-group type   Pmmn (59)
Excess energy over the best structure of this formula in the dataset   0.0 meV/atom
M_tot   9.041 μB/f.u.
Energy   -6.43 eV/atom

abc: 2.655 3.444 33.326
angles: 90.00 90.00 90.00
Sites, in units of the cell vectors:
Co 0.000 0.000 0.740
Co 0.000 0.000 0.445
Co 0.500 0.500 0.335
Co 0.500 0.500 0.628
Co 0.000 0.000 0.299
Co 0.500 0.500 0.701
Co 0.000 0.000 0.518
Co 0.500 0.500 0.555
Co 0.000 0.000 0.372
Co 0.500 0.500 0.482
Co 0.000 0.000 0.592
Co 0.500 0.500 0.408
Co 0.000 0.000 0.665
Co 0.500 0.500 0.260
Te 0.000 0.000 0.216
Te 0.500 0.500 0.784


Entry 6:
The following is a DFT calculation (PBE-GGA) of crystalline Ta at its relaxed geometry.

Summary:
Space-group type   P4/mbm (127)
Excess energy over the best structure of this formula in the dataset   948.2 meV/atom
M_tot   0.000 μB/f.u.
Formation energy   91.5 kJ/mol of atoms
Energy   -10.90 eV/atom

abc: 2.769 5.402 5.402
angles: 90.00 90.00 90.00
Sites, in units of the cell vectors:
Ta 0.000 0.800 0.300
Ta 0.000 0.200 0.700
Ta 0.000 0.700 0.800
Ta 0.000 0.300 0.200


Entry 7:
The following is a DFT calculation (PBE-GGA) of crystalline Li2NpS3 at its relaxed geometry.

Summary:
Space-group type   Cmcm (63)
M_tot   2.997 μB/f.u.
Energy   -6.08 eV/atom

abc: 6.284 6.284 10.364
angles: 90.00 90.00 143.44
Sites, in units of the cell vectors:
S 0.914 0.086 0.750
S 0.364 0.636 0.068
S 0.364 0.636 0.432
S 0.086 0.914 0.250
S 0.636 0.364 0.932
S 0.636 0.364 0.568
Li 0.731 0.269 0.250
Li 0.269 0.731 0.750
Li 0.524 0.476 0.750
Li 0.476 0.524 0.250
Np 0.000 0.000 0.500
Np 0.000 0.000 0.000


Entry 8:
The following is a DFT calculation (PBE-GGA) of crystalline FeNi2 at its relaxed geometry.

Summary:
Space-group type   Fd-3m (227)
M_tot   4.009 μB/f.u.
Formation energy   226.1 kJ/mol of atoms
Energy   -4.14 eV/atom

abc: 6.942 6.942 6.942
angles: 60.00 60.00 60.00
Sites, in units of the cell vectors:
Ni 0.875 0.375 0.375
Ni 0.375 0.375 0.875
Ni 0.375 0.875 0.375
Ni 0.375 0.375 0.375
Fe 0.500 0.500 0.500
Fe 0.250 0.250 0.250


Entry 9:
The following is a DFT calculation (PBE-GGA) of crystalline Li3Ho3SnGe2 at its relaxed geometry.

Summary:
Space-group type   P-62m (189)
M_tot   0.003 μB/f.u.
Energy   -4.34 eV/atom

abc: 7.076 7.076 4.334
angles: 90.00 90.00 120.00
Sites, in units of the cell vectors:
Ho 0.000 0.447 0.000
Ho 0.553 0.553 0.000
Ho 0.447 0.000 0.000
Ge 0.667 0.333 0.500
Ge 0.333 0.667 0.500
Sn 0.000 0.000 0.000
Li 0.239 0.239 0.500
Li 0.761 0.000 0.500
Li 0.000 0.761 0.500


Entry 10:
The following is a DFT calculation (PBE-GGA) of crystalline Ag3SbO4 at its relaxed geometry.

Summary:
Space-group type   P4_122 (91)
Excess energy over the best structure of this formula in the dataset   0.0 meV/atom
Energy   -4.70 eV/atom

abc: 7.104 7.104 8.851
angles: 90.00 90.00 90.00
Sites, in units of the cell vectors:
O 0.514 0.301 0.230
O 0.080 0.303 0.735
O 0.301 0.514 0.520
O 0.920 0.303 0.265
O 0.699 0.514 0.480
O 0.080 0.697 0.765
O 0.697 0.920 0.515
O 0.303 0.920 0.485
O 0.920 0.697 0.235
O 0.301 0.486 0.980
O 0.486 0.699 0.730
O 0.514 0.699 0.270
O 0.486 0.301 0.770
O 0.699 0.486 0.020
O 0.697 0.080 0.985
O 0.303 0.080 0.015
Ag 0.000 0.815 0.500
Ag 0.251 0.000 0.250
Ag 0.205 0.500 0.250
Ag 0.000 0.251 0.500
Ag 0.500 0.795 0.000
Ag 0.000 0.185 0.000
Ag 0.795 0.500 0.750
Ag 0.500 0.205 0.500
Ag 0.749 0.000 0.750
Ag 0.185 0.000 0.750
Ag 0.000 0.749 0.000
Ag 0.815 0.000 0.250
Sb 0.278 0.500 0.750
Sb 0.500 0.278 0.000
Sb 0.722 0.500 0.250
Sb 0.500 0.722 0.500


Entry 11:
The following is a DFT calculation (PBE-GGA) of crystalline ReBPt at its relaxed geometry.

Summary:
Space-group type   F-43m (216)
M_tot   0.002 μB/f.u.
Energy   -7.43 eV/atom

abc: 4.009 4.009 4.009
angles: 60.00 60.00 60.00
Sites, in units of the cell vectors:
Pt 0.750 0.750 0.750
Re 0.000 0.000 0.000
B 0.250 0.250 0.250


Entry 12:
The following is a DFT calculation (PBE-GGA) of crystalline TmCu3Te3 at its relaxed geometry.

Summary:
Space-group type   Pmn2_1 (31)
M_tot   0.001 μB/f.u.
Energy   -4.11 eV/atom

abc: 12.770 7.601 6.905
angles: 90.00 90.00 90.00
Sites, in units of the cell vectors:
Te 0.500 0.947 0.010
Te 0.337 0.066 0.523
Te 0.337 0.433 0.992
Te 0.000 0.450 0.003
Te 0.000 0.053 0.510
Te 0.663 0.066 0.523
Te 0.837 0.567 0.492
Te 0.837 0.934 0.023
Te 0.663 0.433 0.992
Te 0.163 0.934 0.023
Te 0.163 0.567 0.492
Te 0.500 0.550 0.503
Cu 0.828 0.883 0.633
Cu 0.500 0.878 0.628
Cu 0.325 0.381 0.380
Cu 0.000 0.122 0.128
Cu 0.175 0.619 0.880
Cu 0.500 0.621 0.882
Cu 0.672 0.117 0.133
Cu 0.825 0.619 0.880
Cu 0.172 0.883 0.633
Cu 0.675 0.381 0.380
Cu 0.328 0.117 0.133
Cu 0.000 0.379 0.382
Tm 0.162 0.250 0.758
Tm 0.338 0.750 0.258
Tm 0.662 0.750 0.258
Tm 0.838 0.250 0.758


Entry 13:
The following is a DFT calculation (PBE-GGA) of crystalline Re2GeOs at its relaxed geometry.

Summary:
Space-group type   F-43m (216)
M_tot   0.052 μB/f.u.
Energy   -9.75 eV/atom

abc: 4.378 4.378 4.378
angles: 60.00 60.00 60.00
Sites, in units of the cell vectors:
Re 0.000 0.000 0.000
Re 0.750 0.750 0.750
Ge 0.500 0.500 0.500
Os 0.250 0.250 0.250


Entry 14:
The following is a DFT calculation (PBE-GGA) of crystalline SrMgU at its relaxed geometry.

Summary:
Space-group type   F-43m (216)
Excess energy over the best structure of this formula in the dataset   0.0 meV/atom
M_tot   4.073 μB/f.u.
Energy   -3.64 eV/atom

abc: 5.504 5.504 5.504
angles: 60.00 60.00 60.00
Sites, in units of the cell vectors:
Mg 0.000 0.000 0.000
Sr 0.250 0.250 0.250
U 0.750 0.750 0.750


Entry 15:
The following is a DFT calculation (PBE-GGA) of crystalline MgScTlPt at its relaxed geometry.

Summary:
Space-group type   F-43m (216)
Excess energy over the best structure of this formula in the dataset   0.0 meV/atom
M_tot   0.001 μB/f.u.
Energy   -4.65 eV/atom

abc: 4.790 4.790 4.790
angles: 60.00 60.00 60.00
Sites, in units of the cell vectors:
Mg 0.750 0.750 0.750
Pt 0.000 0.000 0.000
Sc 0.250 0.250 0.250
Tl 0.500 0.500 0.500


Entry 16:
The following is a DFT calculation (PBE-GGA) of crystalline TbTmSnCl2 at its relaxed geometry.

Summary:
Space-group type   P3m1 (156)
M_tot   0.001 μB/f.u.
Energy   -4.81 eV/atom

abc: 4.158 4.158 9.861
angles: 90.00 90.00 120.00
Sites, in units of the cell vectors:
Tb 0.333 0.667 0.682
Tm 0.667 0.333 0.318
Cl 0.667 0.333 0.835
Cl 0.333 0.667 0.169
Sn 0.000 0.000 0.496


Entry 17:
The following is a DFT calculation (PBE-GGA) of crystalline Be2Pt3Pb2 at its relaxed geometry.

Summary:
Space-group type   R3m (160)
M_tot   0.001 μB/f.u.
Energy   -4.69 eV/atom

abc: 7.690 7.690 7.690
angles: 33.94 33.94 33.94
Sites, in units of the cell vectors:
Pt 0.620 0.620 0.620
Pt 0.372 0.372 0.372
Pt 0.874 0.874 0.874
Be 0.751 0.751 0.751
Be 0.257 0.257 0.257
Pb 0.494 0.494 0.494
Pb 0.007 0.007 0.007


Entry 18:
The following is a DFT calculation (PBE-GGA) of crystalline Cs3RbZn2Pb2 at its relaxed geometry.

Summary:
Space-group type   Pm (6)
Energy   -1.81 eV/atom

abc: 7.273 7.110 7.427
angles: 90.00 109.73 90.00
Sites, in units of the cell vectors:
Cs 0.509 0.000 0.170
Cs 0.826 0.500 0.498
Cs 0.487 0.500 0.826
Zn 0.997 0.250 0.004
Zn 0.997 0.750 0.004
Pb 0.239 0.500 0.244
Pb 0.769 0.000 0.751
Rb 0.176 0.000 0.503


Entry 19:
The following is a DFT calculation (PBE-GGA) of crystalline Lu2HfCo at its relaxed geometry.

Summary:
Space-group type   F-43m (216)
M_tot   0.005 μB/f.u.
Formation energy   27.7 kJ/mol of atoms
Energy   -6.24 eV/atom

abc: 4.897 4.897 4.897
angles: 60.00 60.00 60.00
Sites, in units of the cell vectors:
Lu 0.000 0.000 0.000
Lu 0.750 0.750 0.750
Hf 0.500 0.500 0.500
Co 0.250 0.250 0.250


Entry 20:
The following is a DFT calculation (PBE-GGA) of crystalline ZnGaCuPd at its relaxed geometry.

Summary:
Space-group type   F-43m (216)
Excess energy over the best structure of this formula in the dataset   0.0 meV/atom
Energy   -3.63 eV/atom

abc: 4.300 4.300 4.300
angles: 60.00 60.00 60.00
Sites, in units of the cell vectors:
Cu 0.750 0.750 0.750
Pd 0.250 0.250 0.250
Zn 0.500 0.500 0.500
Ga 0.000 0.000 0.000